# PBE LiRuCl2, relaxed
# * N(E_F): 0.81 states/eV per atom
# * formation energy (no corrections): -0.317 eV per atom
# * total DFT energy (no corrections): -4.0373 eV/atom
data_LiRuCl2
_space_group_name_H-M_alt 'C 1 2/m 1'
_space_group_IT_number 12
_cell_length_a 6.896
_cell_length_b 6.888
_cell_length_c 3.299
_cell_angle_alpha 90.00
_cell_angle_beta 90.30
_cell_angle_gamma 90.00
loop_
_space_group_symop_operation_xyz
'x,y,z'
'-x,-y,-z'
'-x,y,-z'
'x,-y,z'
'x+1/2,y+1/2,z'
'-x+1/2,-y+1/2,-z'
'-x+1/2,y+1/2,-z'
'x+1/2,-y+1/2,z'
loop_
_atom_site_label
_atom_site_fract_x
_atom_site_fract_y
_atom_site_fract_z
Li1 0.000 0.000 0.000
Ru1 0.000 0.500 0.000
Cl1 0.250 0.250 0.000